An optimized crystal structure of Mo2SeCl, computed with GGA-PBE.

Cell: 3.0529 3.0529 30.1443 Å, 90.00 90.00 120.00°
Sites, in units of the cell vectors:
Mo: 0.0000 0.0000 0.0000
Mo: 0.0000 0.0000 0.2549
Mo: 0.3333 0.6667 0.6667
Mo: 0.3333 0.6667 0.9215
Mo: 0.6667 0.3333 0.3333
Mo: 0.6667 0.3333 0.5882
Se: 0.0000 0.0000 0.7255
Se: 0.3333 0.6667 0.3922
Se: 0.6667 0.3333 0.0589
Cl: 0.0000 0.0000 0.5302
Cl: 0.3333 0.6667 0.1969
Cl: 0.6667 0.3333 0.8635

- size of the total moment (μB per cell) = 0.00
- energy relative to the elements, uncorrected (meV/atom) = -191
- distance to the lowest polymorph of the same formula (meV/atom) = 2.0
- calculated volume (Å³ per cell) = 243
- total DFT energy (no corrections) (eV per atom) = -6.939
- density of states at the Fermi level (states/eV/cell) = 5.0
- space group = R3m